No. 1
Material: NdLuAlCd
Method: DFT, PBE-GGA
State: relaxed

## Properties
E_tot: -3.809 eV per atom
total magnetic moment: 0.000 μB per atom

Structure (POSCAR):
```
NdLuAlCd
1.0
5.238 0.000 0.000
2.619 4.536 0.000
2.619 1.512 4.277
Lu Nd Al Cd
1 1 1 1
Direct
0.500 0.500 0.500 Lu
0.000 0.000 0.000 Nd
0.250 0.250 0.250 Al
0.750 0.750 0.750 Cd
```

No. 2
Material: LuPaAlCd
Method: DFT, PBE-GGA
State: relaxed

## Properties
E_tot: -4.675 eV per atom
total magnetic moment: 0.237 μB per atom

Structure (POSCAR):
```
LuPaAlCd
1.0
-3.535 -1.230 3.529
-4.121 -2.770 -1.344
-0.458 -4.869 1.594
Pa Lu Al Cd
1 1 1 1
Direct
0.000 0.000 0.000 Pa
0.500 0.500 0.500 Lu
0.750 0.750 0.750 Al
0.250 0.250 0.250 Cd
```

No. 3
Material: PmLuAlCd
Method: DFT, PBE-GGA
State: relaxed

## Properties
E_tot: -3.811 eV per atom
total magnetic moment: 0.000 μB per atom

Structure (POSCAR):
```
PmLuAlCd
1.0
5.218 0.000 0.000
2.609 4.519 0.000
2.609 1.506 4.261
Lu Pm Al Cd
1 1 1 1
Direct
0.000 0.000 0.000 Lu
0.500 0.500 0.500 Pm
0.750 0.750 0.750 Al
0.250 0.250 0.250 Cd
```

No. 4
Material: LuPuAlCd
Method: DFT, PBE-GGA
State: relaxed

## Properties
E_tot: -6.025 eV per atom
total magnetic moment: 1.494 μB per atom

Structure (POSCAR):
```
LuPuAlCd
1.0
-0.952 3.199 -3.953
-4.590 -0.129 -2.385
-3.330 3.916 0.586
Cd Lu Al Pu
1 1 1 1
Direct
0.000 0.000 0.000 Cd
0.750 0.750 0.750 Lu
0.500 0.500 0.500 Al
0.250 0.250 0.250 Pu
```

No. 5
Material: LuScAlCd
Method: DFT, PBE-GGA
State: relaxed

## Properties
E_tot: -4.212 eV per atom
total magnetic moment: 0.000 μB per atom

Structure (POSCAR):
```
LuScAlCd
1.0
5.002 0.000 0.000
2.501 4.332 0.000
2.501 1.444 4.084
Sc Lu Al Cd
1 1 1 1
Direct
0.000 0.000 0.000 Sc
0.500 0.500 0.500 Lu
0.250 0.250 0.250 Al
0.750 0.750 0.750 Cd
```

No. 6
Material: SmLuAlCd
Method: DFT, PBE-GGA
State: relaxed

## Properties
E_tot: -3.805 eV per atom
total magnetic moment: 0.000 μB per atom

Structure (POSCAR):
```
SmLuAlCd
1.0
5.204 0.000 0.000
2.602 4.507 0.000
2.602 1.502 4.249
Lu Al Sm Cd
1 1 1 1
Direct
0.500 0.500 0.500 Lu
0.250 0.250 0.250 Al
0.000 0.000 0.000 Sm
0.750 0.750 0.750 Cd
```

No. 7
Material: LuThAlCd
Method: DFT, PBE-GGA
State: relaxed

## Properties
E_tot: -4.377 eV per atom
total magnetic moment: 0.000 μB per atom

Structure (POSCAR):
```
LuThAlCd
1.0
-1.410 5.032 0.344
-4.203 1.726 -2.605
-4.338 1.330 2.615
Lu Al Th Cd
1 1 1 1
Direct
0.000 0.000 0.000 Lu
0.250 0.250 0.250 Al
0.500 0.500 0.500 Th
0.750 0.750 0.750 Cd
```

No. 8
Material: TmLuAlCd
Method: DFT, PBE-GGA
State: relaxed

## Properties
E_tot: -3.744 eV per atom
total magnetic moment: 0.000 μB per atom

Structure (POSCAR):
```
TmLuAlCd
1.0
-0.759 2.521 4.384
-4.693 0.274 2.012
-1.104 -2.580 4.275
Lu Tm Al Cd
1 1 1 1
Direct
0.500 0.500 0.500 Lu
0.000 0.000 0.000 Tm
0.250 0.250 0.250 Al
0.750 0.750 0.750 Cd
```

No. 9
Material: LuZrAlCd
Method: DFT, PBE-GGA
State: relaxed

## Properties
E_tot: -4.666 eV per atom
total magnetic moment: 0.001 μB per atom

Structure (POSCAR):
```
LuZrAlCd
1.0
4.979 0.000 0.000
2.490 4.312 0.000
2.490 1.437 4.065
Lu Al Zr Cd
1 1 1 1
Direct
0.500 0.500 0.500 Lu
0.250 0.250 0.250 Al
0.000 0.000 0.000 Zr
0.750 0.750 0.750 Cd
```

No. 10
Material: Mg9Al2Cd
Method: DFT, PBE-GGA
State: relaxed

## Properties
E_tot: -1.918 eV per atom
total magnetic moment: 0.000 μB per atom

Structure (POSCAR):
```
Mg9Al2Cd
1.0
4.405 0.000 0.000
0.000 4.405 0.000
0.000 0.000 13.190
Mg Al Cd
9 2 1
Direct
0.500 0.500 0.000 Mg
0.500 0.500 0.335 Mg
0.500 0.500 0.665 Mg
0.500 0.000 0.172 Mg
0.500 0.000 0.500 Mg
0.500 0.000 0.828 Mg
0.000 0.500 0.172 Mg
0.000 0.500 0.500 Mg
0.000 0.500 0.828 Mg
0.000 0.000 0.335 Al
0.000 0.000 0.665 Al
0.000 0.000 0.000 Cd
```

No. 11
Material: Mg2AlCd
Method: DFT, PBE-GGA
State: relaxed

## Properties
distance to the lowest polymorph of the same formula: 0.405 eV per formula unit
total magnetic moment: 0.000 μB per atom

Structure (POSCAR):
```
Mg2AlCd
1.0
-0.296 0.572 4.856
0.819 -3.809 2.969
4.061 -0.145 2.735
Al Cd Mg
1 1 2
Direct
0.500 0.500 0.500 Al
0.750 0.750 0.750 Cd
0.000 0.000 0.000 Mg
0.250 0.250 0.250 Mg
```

No. 12
Material: Mg16Al12Cd
Method: DFT, PBE-GGA
State: relaxed

## Properties
distance to the lowest polymorph of the same formula: 0.128 eV per formula unit
total magnetic moment: 0.000 μB per atom

Structure (POSCAR):
```
Mg16Al12Cd
1.0
9.108 -0.006 -0.011
-3.005 8.598 -0.011
-3.005 -4.230 7.485
Mg Al Cd
16 12 1
Direct
0.315 0.315 0.713 Mg
0.001 0.001 0.001 Mg
0.001 0.001 0.655 Mg
0.598 0.598 0.291 Mg
0.682 0.402 0.000 Mg
0.598 0.291 0.598 Mg
0.000 0.682 0.402 Mg
0.001 0.655 0.001 Mg
0.713 0.315 0.315 Mg
0.402 0.000 0.682 Mg
0.000 0.402 0.682 Mg
0.315 0.713 0.315 Mg
0.655 0.001 0.001 Mg
0.682 0.000 0.402 Mg
0.291 0.598 0.598 Mg
0.402 0.682 0.000 Mg
0.815 0.815 0.186 Al
0.640 0.640 0.826 Al
0.365 0.182 0.996 Al
0.182 0.996 0.365 Al
0.826 0.640 0.640 Al
0.186 0.815 0.815 Al
0.365 0.996 0.182 Al
0.996 0.365 0.182 Al
0.815 0.186 0.815 Al
0.640 0.826 0.640 Al
0.996 0.182 0.365 Al
0.182 0.365 0.996 Al
0.335 0.335 0.335 Cd
```